# GGA-PBE Ca2TbHfAs4, relaxed
data_Ca2TbHfAs4
_symmetry_space_group_name_H-M 'P 1 2/m 1'
_symmetry_Int_Tables_number 10
_symmetry_space_group_name_Hall '-P 2y'
_cell_length_a 7.052
_cell_length_b 4.048
_cell_length_c 7.253
_cell_angle_alpha 90.00
_cell_angle_beta 108.69
_cell_angle_gamma 90.00
loop_
_atom_site_label
_atom_site_fract_x
_atom_site_fract_y
_atom_site_fract_z
Ca1 0.000 0.000 0.000
Ca2 0.500 0.500 0.000
Tb1 0.000 0.500 0.500
Hf1 0.500 0.000 0.500
As1 0.258 0.000 0.733
As2 0.271 0.500 0.274
# Volume in Å³ per atom: 24.52
# Uncorrected energy in eV/atom: -5.828
# Magnetic moment in μB per formula unit: 0.00
# Density of states at the Fermi level in states/eV per cell: 3.40



# GGA-PBE CaTb2HfAs4, relaxed
data_CaTb2HfAs4
_symmetry_space_group_name_H-M 'P 1 2/m 1'
_symmetry_Int_Tables_number 10
_symmetry_space_group_name_Hall '-P 2y'
_cell_length_a 6.998
_cell_length_b 4.062
_cell_length_c 7.093
_cell_angle_alpha 90.00
_cell_angle_beta 109.05
_cell_angle_gamma 90.00
loop_
_atom_site_label
_atom_site_fract_x
_atom_site_fract_y
_atom_site_fract_z
Ca1 0.000 0.000 0.000
Tb1 0.500 0.000 0.500
Tb2 0.500 0.500 0.000
Hf1 0.000 0.500 0.500
As1 0.236 0.000 0.735
As2 0.244 0.500 0.262
# Volume in Å³ per atom: 23.82
# Uncorrected energy in eV/atom: -6.272
# Magnetic moment in μB per formula unit: 0.00
# Density of states at the Fermi level in states/eV per cell: 1.19



# GGA-PBE CaHfTe2As, relaxed
data_CaHfTe2As
_symmetry_space_group_name_H-M 'P 4/m m m'
_symmetry_Int_Tables_number 123
_symmetry_space_group_name_Hall '-P 4 2'
_cell_length_a 5.535
_cell_length_b 5.535
_cell_length_c 5.204
_cell_angle_alpha 90.00
_cell_angle_beta 90.00
_cell_angle_gamma 90.00
loop_
_atom_site_label
_atom_site_fract_x
_atom_site_fract_y
_atom_site_fract_z
Ca1 0.000 0.000 0.000
Hf1 0.500 0.500 0.000
Te1 0.000 0.500 0.500
As1 0.000 0.000 0.500
# Volume in Å³ per atom: 31.89
# Uncorrected energy in eV/atom: -4.170
# Magnetic moment in μB per formula unit: 1.39
# Density of states at the Fermi level in states/eV per cell: 3.77
# E_form (uncorrected) in eV/atom: 0.41



# GGA-PBE Ca4TmHf3As8, relaxed
data_Ca4TmHf3As8
_symmetry_space_group_name_H-M 'R -3 m'
_symmetry_Int_Tables_number 166
_symmetry_space_group_name_Hall '-R 3 2"'
_cell_length_a 7.9901
_cell_length_b 7.9901
_cell_length_c 20.4486
_cell_angle_alpha 90.00
_cell_angle_beta 90.00
_cell_angle_gamma 120.00
loop_
_atom_site_label
_atom_site_fract_x
_atom_site_fract_y
_atom_site_fract_z
Ca1 0.0000 0.0000 0.0000
Ca2 0.0000 0.5000 0.0000
Tm1 0.0000 0.0000 0.5000
Hf1 0.0000 0.5000 0.5000
As1 0.0000 0.0000 0.2410
As2 0.0092 0.5046 0.7578
# Volume in Å³ per atom: 23.56
# Uncorrected energy in eV/atom: -6.142
# Magnetic moment in μB per formula unit: 0.00
# Density of states at the Fermi level in states/eV per cell: 6.92



# GGA-PBE Ca3Tm2HfAs6, relaxed
data_Ca3Tm2HfAs6
_symmetry_space_group_name_H-M 'C 1 2/m 1'
_symmetry_Int_Tables_number 12
_symmetry_space_group_name_Hall '-C 2y'
_cell_length_a 7.044
_cell_length_b 12.196
_cell_length_c 7.249
_cell_angle_alpha 90.00
_cell_angle_beta 108.89
_cell_angle_gamma 90.00
loop_
_atom_site_label
_atom_site_fract_x
_atom_site_fract_y
_atom_site_fract_z
Ca1 0.000 0.000 0.000
Ca2 0.000 0.330 0.000
Tm1 0.000 0.166 0.500
Hf1 0.000 0.500 0.500
As1 0.237 0.339 0.729
As2 0.244 0.500 0.270
# Volume in Å³ per atom: 24.55
# Uncorrected energy in eV/atom: -5.586
# Magnetic moment in μB per formula unit: 0.00
# Density of states at the Fermi level in states/eV per cell: 11.60



# GGA-PBE Ca3TmHf2As6, relaxed
data_Ca3TmHf2As6
_symmetry_space_group_name_H-M 'C 1 2/m 1'
_symmetry_Int_Tables_number 12
_symmetry_space_group_name_Hall '-C 2y'
_cell_length_a 6.930
_cell_length_b 12.015
_cell_length_c 7.227
_cell_angle_alpha 90.00
_cell_angle_beta 108.74
_cell_angle_gamma 90.00
loop_
_atom_site_label
_atom_site_fract_x
_atom_site_fract_y
_atom_site_fract_z
Ca1 0.000 0.000 0.000
Ca2 0.000 0.337 0.000
Tm1 0.000 0.500 0.500
Hf1 0.000 0.167 0.500
As1 0.231 0.000 0.726
As2 0.248 0.328 0.727
# Volume in Å³ per atom: 23.75
# Uncorrected energy in eV/atom: -6.035
# Magnetic moment in μB per formula unit: 0.00
# Density of states at the Fermi level in states/eV per cell: 7.10



# GGA-PBE Ca2TmHfAs4, relaxed
data_Ca2TmHfAs4
_symmetry_space_group_name_H-M 'P 1 2/m 1'
_symmetry_Int_Tables_number 10
_symmetry_space_group_name_Hall '-P 2y'
_cell_length_a 7.002
_cell_length_b 4.021
_cell_length_c 7.237
_cell_angle_alpha 90.00
_cell_angle_beta 108.60
_cell_angle_gamma 90.00
loop_
_atom_site_label
_atom_site_fract_x
_atom_site_fract_y
_atom_site_fract_z
Ca1 0.000 0.000 0.000
Ca2 0.500 0.500 0.000
Tm1 0.000 0.500 0.500
Hf1 0.500 0.000 0.500
As1 0.254 0.000 0.730
As2 0.268 0.500 0.275
# Volume in Å³ per atom: 24.14
# Uncorrected energy in eV/atom: -5.809
# Magnetic moment in μB per formula unit: 0.00
# Density of states at the Fermi level in states/eV per cell: 3.10



# GGA-PBE Ca3Hf2UAs6, relaxed
data_Ca3Hf2UAs6
_symmetry_space_group_name_H-M 'C 1 2/m 1'
_symmetry_Int_Tables_number 12
_symmetry_space_group_name_Hall '-C 2y'
_cell_length_a 6.949
_cell_length_b 12.038
_cell_length_c 7.199
_cell_angle_alpha 90.00
_cell_angle_beta 108.79
_cell_angle_gamma 90.00
loop_
_atom_site_label
_atom_site_fract_x
_atom_site_fract_y
_atom_site_fract_z
Ca1 0.000 0.000 0.000
Ca2 0.000 0.335 0.000
Hf1 0.000 0.167 0.500
U1 0.000 0.500 0.500
As1 0.235 0.000 0.725
As2 0.245 0.330 0.726
# Volume in Å³ per atom: 23.75
# Uncorrected energy in eV/atom: -6.511
# Magnetic moment in μB per formula unit: 1.70
# Density of states at the Fermi level in states/eV per cell: 13.63